No. 1
The following is a DFT calculation (PBE) of crystalline Li4LaTl2 at its relaxed geometry.

Cell lengths 4.830, 8.126, 8.126 Å; angles 90.00, 90.00, 90.00 degrees
Element x y z (fractional)
La: 0.000 0.500 0.500
Li: 0.000 0.101 0.356
Li: 0.500 0.856 0.399
Tl: 0.000 0.212 0.788
Tl: 0.500 0.288 0.288
Li: 0.500 0.601 0.144
La: 0.500 0.000 0.000
Li: 0.500 0.399 0.856
Tl: 0.000 0.788 0.212
Tl: 0.500 0.712 0.712
Li: 0.000 0.899 0.644
Li: 0.000 0.356 0.101
Li: 0.000 0.644 0.899
Li: 0.500 0.144 0.601


No. 2
The following is a DFT calculation (PBE) of crystalline Ce8AlCu2 at its relaxed geometry.

Cell lengths 4.435, 8.128, 9.079 Å; angles 122.17, 104.14, 90.00 degrees
Element x y z (fractional)
Al: 0.500 0.000 0.000
Ce: 0.649 0.440 0.298
Ce: 0.832 0.752 0.664
Ce: 0.354 0.118 0.707
Ce: 0.351 0.560 0.702
Ce: 0.646 0.882 0.293
Ce: 0.025 0.702 0.050
Cu: 0.804 0.301 0.607
Ce: 0.168 0.248 0.336
Cu: 0.196 0.699 0.393
Ce: 0.975 0.298 0.950


No. 3
The following is a DFT calculation (PBE) of crystalline NdTl3Hg3 at its relaxed geometry.

Cell lengths 8.073, 8.073, 8.073 Å; angles 90.00, 90.00, 90.00 degrees
Element x y z (fractional)
Hg: 0.000 0.750 0.500
Tl: 0.000 0.500 0.750
Tl: 0.000 0.500 0.250
Nd: 0.000 0.000 0.000
Tl: 0.500 0.250 0.000
Tl: 0.500 0.750 0.000
Tl: 0.250 0.000 0.500
Hg: 0.750 0.500 0.000
Hg: 0.000 0.250 0.500
Hg: 0.250 0.500 0.000
Tl: 0.750 0.000 0.500
Hg: 0.500 0.000 0.750
Nd: 0.500 0.500 0.500
Hg: 0.500 0.000 0.250


No. 4
The following is a DFT calculation (PBE) of crystalline Ca3Bi5Pd6 at its relaxed geometry.

Cell lengths 4.875, 8.667, 8.667 Å; angles 72.67, 73.67, 73.67 degrees
Element x y z (fractional)
Bi: 0.666 0.676 0.992
Bi: 0.334 0.324 0.008
Bi: 0.334 0.008 0.324
Pd: 0.500 0.655 0.345
Pd: 0.500 0.345 0.655
Bi: 0.000 0.500 0.500
Ca: 0.303 0.697 0.697
Pd: 0.119 0.154 0.608
Bi: 0.666 0.992 0.676
Ca: 0.000 0.000 0.000
Pd: 0.881 0.392 0.846
Pd: 0.119 0.608 0.154
Pd: 0.881 0.846 0.392
Ca: 0.697 0.303 0.303


| no. | calculated volume (Å³/atom) | formation energy (eV/atom) |
| --- | --- | --- |
| 1 | 22.78 | -0.25 |
| 2 | 24.12 | -0.03 |
| 3 | 37.58 | 0.41 |
| 4 | 23.40 | -0.57 |